Computed, not measured: a relaxed structure of Mn3AlNi3 at the PBE level of DFT.

Structure (POSCAR):
```
Mn3AlNi3
1.0
5.865 0.039 -0.001
0.052 5.865 -0.001
0.001 0.001 5.456
Mn Al Ni
6 2 6
Direct
0.261 0.739 0.500
0.258 0.258 0.500
0.739 0.261 0.500
0.730 0.270 0.000
0.270 0.730 0.000
0.742 0.742 0.500
0.744 0.744 0.000
0.256 0.256 0.000
0.500 0.000 0.249
0.000 0.500 0.751
0.500 0.000 0.751
0.000 0.000 0.249
0.000 0.500 0.249
0.000 0.000 0.751
```

Values from the calculation:
Space-group type: Cmmm (65)
Energy relative to the elements (eV/f.u.): -0.24



Computed, not measured: a relaxed structure of Al3Pd8Au2 at the PBE level of DFT.

Structure (POSCAR):
```
Al3Pd8Au2
1.0
5.229 0.000 0.000
2.615 4.529 0.000
2.615 1.510 9.436
Pd Al Au
8 3 2
Direct
0.717 0.717 0.347
0.283 0.283 0.653
0.218 0.717 0.347
0.271 0.271 0.186
0.782 0.283 0.653
0.729 0.729 0.814
0.717 0.218 0.347
0.283 0.782 0.653
0.187 0.187 0.439
0.813 0.813 0.561
0.000 0.000 0.000
0.365 0.365 0.904
0.635 0.635 0.096
```

Values from the calculation:
Space-group type: R-3m (166)
Energy relative to the elements (eV/f.u.): -2.42



Computed, not measured: a relaxed structure of TmSc4Ag5 at the PBE level of DFT.

Structure (POSCAR):
```
TmSc4Ag5
1.0
-0.102 3.317 -0.912
-2.056 0.672 2.676
14.073 3.187 10.015
Sc Ag Tm
4 5 1
Direct
0.000 0.000 0.598
0.000 0.000 0.795
0.000 0.000 0.205
0.000 0.000 0.402
0.500 0.500 0.500
0.500 0.500 0.891
0.500 0.500 0.303
0.500 0.500 0.109
0.500 0.500 0.697
0.000 0.000 0.000
```

Values from the calculation:
Space-group type: P4/mmm (123)
Energy relative to the elements (eV/f.u.): -2.85



Computed, not measured: a relaxed structure of YHoRuPt at the PBE level of DFT.

Structure (POSCAR):
```
YHoRuPt
1.0
-2.300 -2.142 -1.468
2.430 -1.082 -2.227
1.790 -4.888 4.327
Pt Ru Y Ho
1 1 1 1
Direct
0.000 0.000 0.853
0.000 0.000 0.361
0.500 0.500 0.112
0.500 0.500 0.602
```

Values from the calculation:
Space-group type: P4mm (99)
Energy relative to the elements (eV/f.u.): -3.33



Computed, not measured: a relaxed structure of La2PmRu at the PBE level of DFT.

Structure (POSCAR):
```
La2PmRu
1.0
3.889 0.000 0.000
1.945 3.368 0.000
1.945 1.123 10.527
Ru La Pm
1 2 1
Direct
0.500 0.500 0.500
0.886 0.886 0.341
0.114 0.114 0.659
0.000 0.000 0.000
```

Values from the calculation:
Space-group type: R-3m (166)
Energy relative to the elements (eV/f.u.): 0.39



Computed, not measured: a relaxed structure of AlHBr3 at the PBE level of DFT.

Structure (POSCAR):
```
AlHBr3
1.0
-7.509 -1.296 -0.257
1.232 -6.580 -2.831
0.291 -4.064 11.993
H Br Al
4 12 4
Direct
0.330 0.902 0.468
0.170 0.402 0.968
0.670 0.098 0.532
0.830 0.598 0.032
0.851 0.288 0.370
0.750 0.287 0.684
0.857 0.186 0.027
0.250 0.213 0.816
0.143 0.814 0.973
0.351 0.212 0.130
0.149 0.712 0.630
0.643 0.686 0.527
0.357 0.314 0.473
0.250 0.713 0.316
0.750 0.787 0.184
0.649 0.788 0.870
0.331 0.661 0.488
0.169 0.161 0.988
0.831 0.839 0.012
0.669 0.339 0.512
```

Values from the calculation:
Space-group type: P2_1/c (14)



Computed, not measured: a relaxed structure of HoSiTc2 at the PBE level of DFT.

Structure (POSCAR):
```
HoSiTc2
1.0
-2.391 -3.409 -0.954
3.397 -3.298 3.268
-3.525 1.128 4.801
Tc Ho Si
4 2 2
Direct
0.500 0.286 0.094
0.500 0.714 0.094
0.000 0.214 0.906
0.000 0.786 0.906
0.000 0.000 0.405
0.500 0.500 0.595
0.500 0.000 0.754
0.000 0.500 0.246
```

Values from the calculation:
Space-group type: Pmmn (59)
ΔE_f (raw) (eV/atom): -0.33



Computed, not measured: a relaxed structure of Cu3OF5 at the PBE level of DFT.

Structure (POSCAR):
```
Cu3OF5
1.0
4.665 -0.068 0.046
-0.476 5.732 0.125
-0.020 0.060 7.640
F Cu O
10 6 2
Direct
0.206 0.691 0.116
0.776 0.652 0.548
0.812 0.305 0.884
0.692 0.471 0.222
0.286 0.879 0.434
0.801 0.987 0.225
0.700 0.133 0.565
0.198 0.368 0.446
0.718 0.789 0.913
0.219 0.005 0.785
0.481 0.485 0.990
0.989 0.672 0.331
0.016 0.338 0.670
0.021 0.004 0.008
0.489 0.815 0.672
0.485 0.169 0.322
0.308 0.528 0.770
0.302 0.208 0.099
```

Values from the calculation:
Space-group type: P1 (1)
ΔE_f (raw) (eV/atom): -1.28



E_tot for every record listed, in sequence, given in eV/atom: -6.98 -4.75 -4.69 -7.42 -5.87 -2.88 -8.01 -4.24.
Magnetization for every record listed, in sequence, given in μB/atom: 1.779 0.000 0.000 0.000 0.000 0.200 0.000 0.054.